[1]
KP2W: optimized geometry, PBE.

Lattice parameters (Å, degrees): 4.5824 4.5824 4.5824 60.00 60.00 60.00
Closest atoms and distances in Å follow each position.
Element x y z (fractional)
W (0.7500, 0.7500, 0.7500)  4 K 2.81, 4 P 2.81
P (0.0000, 0.0000, 0.0000)  4 W 2.81, 4 P 2.81
P (0.2500, 0.2500, 0.2500)  4 K 2.81, 4 P 2.81
K (0.5000, 0.5000, 0.5000)  4 W 2.81, 4 P 2.81

formation enthalpy at 0 K = 5.557 eV per formula unit
total DFT energy (no corrections) = -4.828 eV/atom
ΔE to the lowest computed polymorph = 615 kJ/mol of formula units

---

[2]
Tb4SiNi3: optimized geometry, PBE.

Lattice parameters (Å, degrees): 3.9854 4.0530 10.3677 90.00 90.00 90.00
Closest atoms and distances in Å follow each position.
Element x y z (fractional)
Ni (0.5000, 0.0000, 0.9319)  2 Si 2.46
Ni (0.0000, 0.0000, 0.4315)  2 Ni 2.48
Ni (0.0000, 0.5000, 0.5695)  2 Ni 2.48
Tb (0.0000, 0.5000, 0.8553)  5 Ni 2.95-2.96, 2 Si 2.96
Tb (0.5000, 0.0000, 0.6403)  7 Ni 2.94-3.02
Tb (0.0000, 0.0000, 0.1424)  4 Si 2.95, 3 Ni 2.96-3.00
Tb (0.5000, 0.5000, 0.3634)  6 Ni 2.92-2.93, 1 Si 3.09
Si (0.5000, 0.5000, 0.0658)  2 Ni 2.46

total DFT energy (no corrections) = -5.686 eV/atom
uncorrected formation energy = -0.525 eV per atom

---

[3]
TcTe2RhI: optimized geometry, PBE.

Lattice parameters (Å, degrees): 5.2355 5.2355 5.3429 90.00 90.00 90.00
Closest atoms and distances in Å follow each position.
Element x y z (fractional)
I (0.0000, 0.0000, 0.5000)  2 Rh 2.67
Te (0.0000, 0.5000, 0.0000)  2 Rh 2.62
Te (0.5000, 0.0000, 0.0000)  2 Rh 2.62
Rh (0.0000, 0.0000, 0.0000)  4 Te 2.62, 2 I 2.67
Tc (0.5000, 0.5000, 0.5000)  4 I 3.70, 8 Te 3.74

total DFT energy (no corrections) = -4.157 eV/atom
ΔE to the lowest computed polymorph = 0 kJ/mol of formula units
uncorrected formation energy = 0.953 eV per atom

---

[4]
Pr2NdBi: optimized geometry, PBE.

Lattice parameters (Å, degrees): 4.7443 4.7376 12.3052 90.00 101.09 90.00
Closest atoms and distances in Å follow each position.
Element x y z (fractional)
Pr (0.9408, 0.2500, 0.8816)  6 Pr 3.36-3.71, 2 Bi 3.57
Pr (0.4337, 0.7500, 0.8675)  4 Pr 3.36, 2 Bi 3.45
Pr (0.0592, 0.7500, 0.1184)  6 Pr 3.36-3.71, 2 Bi 3.57
Pr (0.5663, 0.2500, 0.1325)  4 Pr 3.36, 2 Bi 3.45
Nd (0.6944, 0.7500, 0.3890)  5 Bi 3.27-3.40
Nd (0.3056, 0.2500, 0.6110)  5 Bi 3.27-3.40
Bi (0.8300, 0.7500, 0.6601)  5 Nd 3.27-3.40, 4 Pr 3.45-3.57
Bi (0.1700, 0.2500, 0.3399)  5 Nd 3.27-3.40, 4 Pr 3.45-3.57

formation enthalpy at 0 K = -1.791 eV per formula unit
total DFT energy (no corrections) = -5.000 eV/atom
ΔE to the lowest computed polymorph = 0 kJ/mol of formula units

---

[5]
NdHoAg: optimized geometry, PBE.

Lattice parameters (Å, degrees): 3.6225 3.6225 6.9242 105.16 105.16 90.00
Closest atoms and distances in Å follow each position.
Element x y z (fractional)
Nd (0.0132, 0.0132, 0.0265)  4 Ag 3.31, 4 Nd 3.62, 4 Ho 3.66
Ag (0.6762, 0.6762, 0.3524)  4 Ho 3.09, 4 Nd 3.31
Ho (0.3106, 0.3106, 0.6211)  4 Ag 3.09

formation enthalpy at 0 K = -0.488 eV per formula unit
total DFT energy (no corrections) = -4.228 eV/atom
ΔE to the lowest computed polymorph = 0 kJ/mol of formula units

---

[6]
Sr3Li2Pt3: optimized geometry, PBE.

Lattice parameters (Å, degrees): 6.1179 8.0832 15.2794 90.00 90.00 90.00
Closest atoms and distances in Å follow each position.
Element x y z (fractional)
Sr (0.3584, 0.9644, 0.3973)  4 Li 3.14-3.45, 6 Pt 3.18-3.32
Sr (0.1416, 0.4644, 0.1027)  4 Li 3.14-3.45, 6 Pt 3.18-3.32
Sr (0.8584, 0.5356, 0.8973)  4 Li 3.14-3.45, 6 Pt 3.18-3.32
Sr (0.3584, 0.9644, 0.1027)  4 Li 3.14-3.45, 6 Pt 3.18-3.32
Sr (0.6416, 0.0356, 0.6027)  4 Li 3.14-3.45, 6 Pt 3.18-3.32
Sr (0.8584, 0.5356, 0.6027)  4 Li 3.14-3.45, 6 Pt 3.18-3.32
Sr (0.3934, 0.6805, 0.7500)  5 Pt 3.15-3.32, 4 Li 3.34
Sr (0.6416, 0.0356, 0.8973)  4 Li 3.14-3.45, 6 Pt 3.18-3.32
Sr (0.1066, 0.1805, 0.7500)  5 Pt 3.15-3.32, 4 Li 3.34
Sr (0.1416, 0.4644, 0.3973)  4 Li 3.14-3.45, 6 Pt 3.18-3.32
Sr (0.8934, 0.8195, 0.2500)  5 Pt 3.15-3.32, 4 Li 3.34
Sr (0.6066, 0.3195, 0.2500)  5 Pt 3.15-3.32, 4 Li 3.34
Li (0.6156, 0.6142, 0.0968)  4 Pt 2.51-2.73
Li (0.3844, 0.3858, 0.5968)  4 Pt 2.51-2.73
Li (0.8844, 0.1142, 0.4032)  4 Pt 2.51-2.73
Li (0.8844, 0.1142, 0.0968)  4 Pt 2.51-2.73
Li (0.3844, 0.3858, 0.9032)  4 Pt 2.51-2.73
Li (0.1156, 0.8858, 0.9032)  4 Pt 2.51-2.73
Li (0.6156, 0.6142, 0.4032)  4 Pt 2.51-2.73
Li (0.1156, 0.8858, 0.5968)  4 Pt 2.51-2.73
Pt (0.1002, 0.1850, 0.5441)  3 Li 2.51-2.59
Pt (0.1002, 0.1850, 0.9559)  3 Li 2.51-2.59
Pt (0.0976, 0.1774, 0.2500)  2 Li 2.73
Pt (0.3998, 0.6850, 0.9559)  3 Li 2.51-2.59
Pt (0.4024, 0.6774, 0.2500)  2 Li 2.73
Pt (0.9024, 0.8226, 0.7500)  2 Li 2.73
Pt (0.6002, 0.3150, 0.4559)  3 Li 2.51-2.59
Pt (0.8998, 0.8150, 0.0441)  3 Li 2.51-2.59
Pt (0.8998, 0.8150, 0.4559)  3 Li 2.51-2.59
Pt (0.3998, 0.6850, 0.5441)  3 Li 2.51-2.59
Pt (0.5976, 0.3226, 0.7500)  2 Li 2.73
Pt (0.6002, 0.3150, 0.0441)  3 Li 2.51-2.59

formation enthalpy at 0 K = -5.055 eV per formula unit
total DFT energy (no corrections) = -4.006 eV/atom

---

[7]
Cs3Tb2CeS6: optimized geometry, PBE.

Lattice parameters (Å, degrees): 7.2350 7.2350 8.4165 98.24 98.24 120.00
Closest atoms and distances in Å follow each position.
Element x y z (fractional)
S (0.0610, 0.4013, 0.1829)  2 Tb 2.81, 1 Ce 2.87
S (0.9390, 0.5987, 0.8171)  2 Tb 2.81, 1 Ce 2.87
S (0.2794, 0.2794, 0.8173)  2 Tb 2.80, 1 Ce 2.87
S (0.7206, 0.7206, 0.1827)  2 Tb 2.80, 1 Ce 2.87
S (0.5987, 0.9390, 0.8171)  2 Tb 2.81, 1 Ce 2.87
S (0.4013, 0.0610, 0.1829)  2 Tb 2.81, 1 Ce 2.87
Cs (0.1663, 0.8337, 0.5000)  6 S 3.48-3.53
Cs (0.8337, 0.1663, 0.5000)  6 S 3.48-3.53
Cs (0.5000, 0.5000, 0.5000)  6 S 3.48-3.53
Tb (0.3333, 0.6667, 0.0000)  6 S 2.80-2.81
Tb (0.6667, 0.3333, 0.0000)  6 S 2.80-2.81
Ce (0.0000, 0.0000, 0.0000)  6 S 2.87

total DFT energy (no corrections) = -5.346 eV/atom
uncorrected formation energy = -1.803 eV per atom

---

[8]
PmGe3Os3: optimized geometry, PBE.

Lattice parameters (Å, degrees): 6.7381 6.7381 6.7381 90.00 90.00 90.00
Closest atoms and distances in Å follow each position.
Element x y z (fractional)
Pm (0.5000, 0.5000, 0.5000)  12 Ge 3.77, 12 Os 3.77
Pm (0.0000, 0.0000, 0.0000)  12 Ge 3.77, 12 Os 3.77
Os (0.0000, 0.5000, 0.7500)  4 Ge 2.38
Os (0.7500, 0.0000, 0.5000)  4 Ge 2.38
Os (0.0000, 0.5000, 0.2500)  4 Ge 2.38
Os (0.5000, 0.2500, 0.0000)  4 Ge 2.38
Os (0.2500, 0.0000, 0.5000)  4 Ge 2.38
Os (0.5000, 0.7500, 0.0000)  4 Ge 2.38
Ge (0.5000, 0.0000, 0.2500)  4 Os 2.38
Ge (0.7500, 0.5000, 0.0000)  4 Os 2.38
Ge (0.2500, 0.5000, 0.0000)  4 Os 2.38
Ge (0.0000, 0.7500, 0.5000)  4 Os 2.38
Ge (0.5000, 0.0000, 0.7500)  4 Os 2.38
Ge (0.0000, 0.2500, 0.5000)  4 Os 2.38

formation enthalpy at 0 K = 2.880 eV per formula unit
total DFT energy (no corrections) = -7.059 eV/atom
ΔE to the lowest computed polymorph = 270 kJ/mol of formula units

---

[9]
Sr2TcO5: optimized geometry, PBE.

Lattice parameters (Å, degrees): 3.8802 11.5253 11.8962 90.00 90.00 90.00
Closest atoms and distances in Å follow each position.
Element x y z (fractional)
Tc (0.7499, 0.8303, 0.8810)  5 O 1.81-1.94
Tc (0.2501, 0.6696, 0.3810)  5 O 1.81-1.94
Tc (0.2501, 0.1697, 0.1190)  5 O 1.81-1.94
Tc (0.7499, 0.3304, 0.6190)  5 O 1.81-1.94
O (0.7500, 0.7694, 0.0214)  1 Tc 1.81
O (0.2500, 0.7306, 0.5214)  1 Tc 1.81
O (0.2501, 0.2575, 0.2483)  1 Tc 1.84
O (0.2500, 0.5063, 0.8883)  4 Sr 2.32-2.43
O (0.2500, 0.2306, 0.9786)  1 Tc 1.81
O (0.2501, 0.0142, 0.1386)  1 Tc 1.81
O (0.7500, 0.2694, 0.4786)  1 Tc 1.81
O (0.2501, 0.5142, 0.3614)  1 Tc 1.81
O (0.7499, 0.9858, 0.8614)  1 Tc 1.81
O (0.7500, 0.4937, 0.1117)  4 Sr 2.32-2.43
O (0.2501, 0.7575, 0.2517)  1 Tc 1.84
O (0.7499, 0.2425, 0.7483)  1 Tc 1.84
O (0.7501, 0.6722, 0.3805)  2 Tc 1.94
O (0.2499, 0.3278, 0.6195)  2 Tc 1.94
O (0.7500, 0.9937, 0.3884)  4 Sr 2.32-2.43
O (0.7499, 0.4858, 0.6386)  1 Tc 1.81
O (0.2500, 0.0063, 0.6116)  4 Sr 2.32-2.43
O (0.2499, 0.8278, 0.8805)  2 Tc 1.94
O (0.7501, 0.1722, 0.1195)  2 Tc 1.94
O (0.7499, 0.7425, 0.7517)  1 Tc 1.84
Sr (0.2499, 0.1015, 0.7833)  5 O 2.32-2.57
Sr (0.7501, 0.3985, 0.2833)  5 O 2.32-2.56
Sr (0.2499, 0.6015, 0.7167)  5 O 2.32-2.56
Sr (0.7501, 0.8985, 0.2167)  5 O 2.32-2.56
Sr (0.2500, 0.6115, 0.0652)  5 O 2.43-2.71
Sr (0.7500, 0.3885, 0.9348)  5 O 2.43-2.71
Sr (0.7500, 0.8885, 0.5652)  5 O 2.43-2.71
Sr (0.2500, 0.1115, 0.4348)  5 O 2.43-2.71

total DFT energy (no corrections) = -7.011 eV/atom
ΔE to the lowest computed polymorph = 0 kJ/mol of formula units
uncorrected formation energy = -2.196 eV per atom

---

[10]
ZrZn: optimized geometry, PBE.

Lattice parameters (Å, degrees): 4.2661 4.2661 4.2661 60.00 60.00 60.00
Closest atoms and distances in Å follow each position.
Element x y z (fractional)
Zn (0.0000, 0.0000, 0.0000)  4 Zr 2.61
Zr (0.7500, 0.7500, 0.7500)  4 Zn 2.61

formation enthalpy at 0 K = 2.262 eV per formula unit
total DFT energy (no corrections) = -3.780 eV/atom